LiTa2Pb | PBE | optimized geometry

Unit cell a=2.9673 b=5.1726 c=5.1115 alpha=90.00 beta=90.51 gamma=90.00
Element x y z (fractional)
Li (0.0000, 0.0000, 0.0000)
Ta (0.2636, 0.5000, 0.7697)
Ta (0.7364, 0.5000, 0.2303)
Pb (0.5000, 0.0000, 0.5000)

Calculated values
Space-group type: P2/m
Total energy, eV per atom: -6.9390
Crystal system: monoclinic
Formation enthalpy at 0 K, meV per atom: 393

La2Te3H4 | PBE | optimized geometry

Unit cell a=6.4904 b=6.4904 c=7.9865 alpha=109.77 beta=109.77 gamma=36.05
Element x y z (fractional)
La (0.2195, 0.2195, 0.2633)
La (0.7805, 0.7805, 0.7367)
Te (0.0697, 0.0697, 0.8046)
Te (0.5000, 0.5000, 0.5000)
Te (0.9303, 0.9303, 0.1954)
H (0.2355, 0.2355, 0.5607)
H (0.3566, 0.3566, 0.8749)
H (0.6434, 0.6434, 0.1251)
H (0.7645, 0.7645, 0.4393)

Calculated values
Space-group type: C2/m
Total energy, eV per atom: -4.1935
Crystal system: monoclinic

NaCa2InFe | PBE | optimized geometry

Unit cell a=5.4015 b=5.4015 c=5.3496 alpha=90.00 beta=90.00 gamma=90.00
Element x y z (fractional)
Na (0.0000, 0.0000, 0.0000)
Ca (0.0000, 0.5000, 0.5000)
Ca (0.5000, 0.0000, 0.5000)
In (0.5000, 0.5000, 0.0000)
Fe (0.0000, 0.0000, 0.5000)

Calculated values
Space-group type: P4/mmm
Total energy, eV per atom: -2.8430
Crystal system: tetragonal
Formation enthalpy at 0 K, meV per atom: 462

no.,total moment (Bohr magnetons per cell)
1,0.00
2,0.00
3,1.86